Record 1
Compound: La2YTl
Source: the Alexandria database
Functional: PBE
Structure: optimized geometry

```
La2YTl
1.0
3.745 0.000 0.000
0.000 3.745 0.000
0.000 0.000 9.268
La Tl Y
2 1 1
direct
0.500 0.500 0.274 La
0.000 0.000 0.990 La
0.000 0.000 0.513 Tl
0.500 0.500 0.723 Y
```

Calculated values
ΔE_f, meV per atom: -190
Space-group type: P4mm (99)
Total DFT energy (no corrections), Ha/atom: -0.179
Offset from the most stable computed form, eV per atom: 0.029

***

Record 2
Compound: V4Cr2W3
Source: the Alexandria database
Functional: PBE
Structure: optimized geometry

```
V4Cr2W3
1.0
4.768 -0.147 0.747
0.614 7.225 1.329
-0.563 -0.422 7.338
V Cr W
8 4 6
direct
0.028 0.685 0.163 V
0.066 0.158 0.500 V
0.472 0.837 0.315 V
0.528 0.163 0.685 V
0.566 0.500 0.158 V
0.934 0.842 0.500 V
0.434 0.500 0.842 V
0.972 0.315 0.837 V
0.053 0.367 0.181 Cr
0.947 0.633 0.819 Cr
0.553 0.181 0.367 Cr
0.447 0.819 0.633 Cr
0.009 0.030 0.173 W
0.750 0.498 0.502 W
0.991 0.970 0.827 W
0.491 0.827 0.970 W
0.509 0.173 0.030 W
0.250 0.502 0.498 W
```

Calculated values
ΔE_f, meV per atom: 201
Space-group type: C2/c (15)
Total DFT energy (no corrections), Ha/atom: -0.379
Offset from the most stable computed form, eV per atom: 0.264

***

Record 3
Compound: YBeIn2
Source: the Alexandria database
Functional: PBE
Structure: optimized geometry

```
YBeIn2
1.0
-0.248 -3.348 4.629
-2.337 -5.148 -0.857
4.122 3.167 -2.382
Be Y In
1 1 2
direct
0.776 0.276 0.500 Be
0.521 0.521 0.000 Y
0.955 0.955 0.000 In
0.248 0.748 0.500 In
```

Calculated values
ΔE_f, meV per atom: 22
Space-group type: Imm2 (44)
Total DFT energy (no corrections), Ha/atom: -0.143

***

Record 4
Compound: Al3SiNi
Source: the Alexandria database
Functional: PBE
Structure: optimized geometry

```
Al3SiNi
1.0
4.466 0.000 0.000
0.000 4.466 0.000
0.000 0.000 4.466
Ni Al Si
1 3 1
direct
0.000 0.000 0.000 Ni
0.000 0.000 0.500 Al
0.000 0.500 0.000 Al
0.500 0.000 0.000 Al
0.500 0.500 0.500 Si
```

Calculated values
Space-group type: Pm-3m (221)
Total DFT energy (no corrections), Ha/atom: -0.158
Offset from the most stable computed form, eV per atom: 0.239

***

Record 5
Compound: ZrPaFeIr
Source: the Alexandria database
Functional: PBE
Structure: optimized geometry

```
ZrPaFeIr
1.0
-0.009 4.737 0.091
-2.794 2.421 -2.963
-3.771 2.330 1.672
Fe Pa Ir Zr
1 1 1 1
direct
0.250 0.250 0.250 Fe
0.500 0.500 0.500 Pa
0.750 0.750 0.750 Ir
0.000 0.000 0.000 Zr
```

Calculated values
ΔE_f, meV per atom: -325
Space-group type: F-43m (216)
Total DFT energy (no corrections), Ha/atom: -0.337

***

Record 6
Compound: SmMnNbGe2
Source: the Alexandria database
Functional: PBE
Structure: optimized geometry

```
SmMnNbGe2
1.0
4.035 0.000 0.000
0.000 4.035 0.000
-2.018 -2.018 5.881
Mn Nb Sm Ge
1 1 1 2
direct
0.750 0.250 0.500 Mn
0.250 0.750 0.500 Nb
0.000 0.000 0.000 Sm
0.390 0.390 0.780 Ge
0.610 0.610 0.220 Ge
```

Calculated values
ΔE_f, meV per atom: -485
Space-group type: I-4m2 (119)
Total DFT energy (no corrections), Ha/atom: -0.262

***

Record 7
Compound: Zr2GaSn
Source: the Alexandria database
Functional: PBE
Structure: optimized geometry

```
Zr2GaSn
1.0
-2.238 7.325 -0.605
-7.264 -2.301 -0.987
-5.194 2.625 2.204
Zr Ga Sn
4 2 2
direct
0.137 0.625 0.250 Zr
0.375 0.387 0.750 Zr
0.613 0.125 0.250 Zr
0.875 0.863 0.750 Zr
0.250 0.750 0.500 Ga
0.500 0.500 0.000 Ga
0.750 0.250 0.500 Sn
0.000 0.000 0.000 Sn
```

Calculated values
ΔE_f, meV per atom: -254
Space-group type: I-42d (122)
Total DFT energy (no corrections), Ha/atom: -0.231

***

Record 8
Compound: AcThZnNi
Source: the Alexandria database
Functional: PBE
Structure: optimized geometry

```
AcThZnNi
1.0
5.213 0.000 0.000
2.607 4.515 0.000
2.607 1.505 4.257
Zn Th Ni Ac
1 1 1 1
direct
0.750 0.750 0.750 Zn
0.000 0.000 0.000 Th
0.250 0.250 0.250 Ni
0.500 0.500 0.500 Ac
```

Calculated values
ΔE_f, meV per atom: -91
Space-group type: F-43m (216)
Total DFT energy (no corrections), Ha/atom: -0.174

***

Record 9
Compound: Sm2BeSnO6
Source: the Alexandria database
Functional: PBE
Structure: optimized geometry

```
Sm2BeSnO6
1.0
5.412 0.000 0.006
0.000 5.609 0.000
0.058 0.000 7.700
Sm O Sn Be
4 12 2 2
direct
0.985 0.057 0.750 Sm
0.015 0.943 0.250 Sm
0.515 0.557 0.750 Sm
0.485 0.443 0.250 Sm
0.407 0.973 0.763 O
0.714 0.305 0.548 O
0.907 0.527 0.263 O
0.093 0.473 0.737 O
0.194 0.211 0.449 O
0.786 0.805 0.952 O
0.593 0.027 0.237 O
0.286 0.695 0.452 O
0.806 0.789 0.551 O
0.694 0.289 0.949 O
0.306 0.711 0.051 O
0.214 0.195 0.048 O
0.000 0.500 0.000 Sn
0.500 0.000 0.500 Sn
0.000 0.500 0.500 Be
0.500 0.000 0.000 Be
```

Calculated values
Space-group type: P2_1/c (14)
Total DFT energy (no corrections), Ha/atom: -0.268

***

Record 10
Compound: CaPbN
Source: the Alexandria database
Functional: PBE
Structure: optimized geometry

```
CaPbN
1.0
4.384 0.000 0.000
0.000 5.841 0.000
0.000 0.000 10.726
Pb Ca N
4 4 4
direct
0.250 0.968 0.353 Pb
0.250 0.468 0.147 Pb
0.750 0.032 0.647 Pb
0.750 0.532 0.853 Pb
0.750 0.439 0.394 Ca
0.250 0.061 0.894 Ca
0.250 0.561 0.606 Ca
0.750 0.939 0.106 Ca
0.750 0.926 0.874 N
0.750 0.426 0.626 N
0.250 0.074 0.126 N
0.250 0.574 0.374 N
```

Calculated values
Space-group type: Pnma (62)
Total DFT energy (no corrections), Ha/atom: -0.180

***

Record 11
Compound: Sc2SiP
Source: the Alexandria database
Functional: PBE
Structure: optimized geometry

```
Sc2SiP
1.0
-3.841 0.609 0.831
0.444 -2.900 4.177
0.875 2.900 1.920
Si Sc P
1 2 1
direct
0.500 0.000 0.500 Si
0.500 0.500 0.000 Sc
0.000 0.000 0.000 Sc
0.000 0.500 0.500 P
```

Calculated values
Space-group type: Pmmm (47)
Total DFT energy (no corrections), Ha/atom: -0.242
Offset from the most stable computed form, eV per atom: 0.433

***

Record 12
Compound: MnTlFeSe3
Source: the Alexandria database
Functional: PBE
Structure: optimized geometry

```
MnTlFeSe3
1.0
3.536 0.000 0.000
0.000 8.196 -1.245
0.000 -3.385 9.501
Tl Mn Se Fe
2 2 6 2
direct
0.250 0.274 0.280 Tl
0.750 0.726 0.720 Tl
0.250 0.696 0.167 Mn
0.750 0.304 0.833 Mn
0.750 0.243 0.560 Se
0.250 0.757 0.440 Se
0.750 0.460 0.114 Se
0.750 0.900 0.153 Se
0.250 0.100 0.847 Se
0.250 0.540 0.886 Se
0.750 0.918 0.392 Fe
0.250 0.082 0.608 Fe
```

Calculated values
Space-group type: P2_1/m (11)
Total DFT energy (no corrections), Ha/atom: -0.198

***

Record 13
Compound: LaHPd3
Source: the Alexandria database
Functional: PBE
Structure: optimized geometry

```
LaHPd3
1.0
-3.640 2.234 -0.245
-1.690 -3.029 -2.503
-1.481 -2.033 3.460
H Pd La
1 3 1
direct
0.000 0.000 0.000 H
0.500 0.000 0.000 Pd
0.000 0.000 0.500 Pd
0.000 0.500 0.000 Pd
0.500 0.500 0.500 La
```

Calculated values
Space-group type: Pm-3m (221)
Total DFT energy (no corrections), Ha/atom: -0.197
Offset from the most stable computed form, eV per atom: 0.048

***

Record 14
Compound: Au2Br
Source: the Alexandria database
Functional: PBE
Structure: optimized geometry

```
Au2Br
1.0
5.465 0.000 0.000
0.000 4.888 0.000
0.000 0.000 10.723
Au Br
8 4
direct
0.750 0.085 0.183 Au
0.250 0.936 0.551 Au
0.250 0.915 0.817 Au
0.750 0.564 0.051 Au
0.750 0.064 0.449 Au
0.250 0.415 0.683 Au
0.750 0.585 0.317 Au
0.250 0.436 0.949 Au
0.250 0.607 0.364 Br
0.250 0.107 0.136 Br
0.750 0.393 0.636 Br
0.750 0.893 0.864 Br
```

Calculated values
Space-group type: Pnma (62)
Total DFT energy (no corrections), Ha/atom: -0.094
Offset from the most stable computed form, eV per atom: 0.158

***

Record 15
Compound: Be3PdF
Source: the Alexandria database
Functional: PBE
Structure: optimized geometry

```
Be3PdF
1.0
-0.249 1.147 -4.123
-3.160 -2.834 -0.597
-2.885 3.005 1.010
Be Pd F
3 1 1
direct
0.500 0.000 0.000 Be
0.000 0.000 0.500 Be
0.000 0.500 0.000 Be
0.000 0.000 0.000 Pd
0.500 0.500 0.500 F
```

Calculated values
Space-group type: Pm-3m (221)
Total DFT energy (no corrections), Ha/atom: -0.125
Offset from the most stable computed form, eV per atom: 0.655

***

Record 16
Compound: LaTb2Pr7
Source: the Alexandria database
Functional: PBE
Structure: optimized geometry

```
LaTb2Pr7
1.0
5.806 0.000 0.000
0.000 9.347 -0.441
0.000 -4.611 8.143
Pr Tb La
7 2 1
direct
0.500 0.703 0.937 Pr
0.500 0.297 0.063 Pr
0.000 0.770 0.230 Pr
0.500 0.937 0.703 Pr
0.500 0.063 0.297 Pr
0.000 0.230 0.770 Pr
0.500 0.500 0.500 Pr
0.500 0.703 0.297 Tb
0.500 0.297 0.703 Tb
0.000 0.000 0.000 La
```

Calculated values
ΔE_f, meV per atom: 613
Space-group type: Cmmm (65)
Total DFT energy (no corrections), Ha/atom: -0.153
Offset from the most stable computed form, eV per atom: 0.595

***

Record 17
Compound: MgAg
Source: the Alexandria database
Functional: PBE
Structure: optimized geometry

```
MgAg
1.0
8.374 0.000 0.000
0.000 8.374 0.000
0.000 0.000 8.374
Mg Ag
8 8
direct
0.801 0.199 0.801 Mg
0.699 0.699 0.699 Mg
0.699 0.301 0.301 Mg
0.801 0.801 0.199 Mg
0.199 0.199 0.199 Mg
0.199 0.801 0.801 Mg
0.301 0.699 0.301 Mg
0.301 0.301 0.699 Mg
0.379 0.621 0.621 Ag
0.621 0.379 0.621 Ag
0.379 0.379 0.379 Ag
0.121 0.121 0.879 Ag
0.879 0.121 0.121 Ag
0.879 0.879 0.879 Ag
0.621 0.621 0.379 Ag
0.121 0.879 0.121 Ag
```

Calculated values
ΔE_f, meV per atom: 388
Space-group type: I-43m (217)
Total DFT energy (no corrections), Ha/atom: -0.067

***

Record 18
Compound: K2MgW
Source: the Alexandria database
Functional: PBE
Structure: optimized geometry

```
K2MgW
1.0
-0.341 2.916 0.003
-4.162 -0.482 -3.798
-4.230 -0.498 4.699
K W Mg
2 1 1
direct
0.000 0.000 0.000 K
0.500 0.500 0.000 K
0.000 0.500 0.500 W
0.500 0.000 0.500 Mg
```

Calculated values
ΔE_f, meV per atom: 1337
Space-group type: Pmmm (47)
Total DFT energy (no corrections), Ha/atom: -0.105

***

Record 19
Compound: NbNi2Pt
Source: the Alexandria database
Functional: PBE
Structure: optimized geometry

```
NbNi2Pt
1.0
6.762 0.000 0.000
0.000 6.762 0.000
3.381 3.381 2.627
Pt Nb Ni
2 2 4
direct
0.000 0.000 0.000 Pt
0.750 0.250 0.500 Pt
0.250 0.750 0.500 Nb
0.500 0.500 0.000 Nb
0.130 0.625 0.250 Ni
0.620 0.125 0.250 Ni
0.375 0.380 0.750 Ni
0.875 0.870 0.750 Ni
```

Calculated values
ΔE_f, meV per atom: 136
Space-group type: I-42d (122)
Total DFT energy (no corrections), Ha/atom: -0.249

***

Record 20
Compound: Dy6TlSi2Te3
Source: the Alexandria database
Functional: PBE
Structure: optimized geometry

```
Dy6TlSi2Te3
1.0
4.225 0.000 0.000
0.000 8.754 0.216
-2.113 -2.622 9.059
Dy Si Te Tl
6 2 3 1
direct
0.675 0.565 0.349 Dy
0.990 0.743 0.980 Dy
0.325 0.435 0.651 Dy
0.010 0.257 0.020 Dy
0.331 0.892 0.662 Dy
0.669 0.108 0.338 Dy
0.833 0.666 0.665 Si
0.167 0.334 0.335 Si
0.164 0.831 0.328 Te
0.836 0.169 0.672 Te
0.500 0.500 0.000 Te
0.500 0.000 0.000 Tl
```

Calculated values
Space-group type: C2/m (12)
Total DFT energy (no corrections), Ha/atom: -0.190

***

Record 21
Compound: Y2CoTcN
Source: the Alexandria database
Functional: PBE
Structure: optimized geometry

```
Y2CoTcN
1.0
5.293 0.000 0.000
0.000 3.411 0.000
0.000 0.000 5.293
Co N Tc Y
1 1 1 2
direct
0.000 0.000 0.000 Co
0.000 0.500 0.000 N
0.500 0.500 0.500 Tc
0.500 0.000 0.000 Y
0.000 0.000 0.500 Y
```

Calculated values
Space-group type: P4/mmm (123)
Total DFT energy (no corrections), Ha/atom: -0.275

***

Record 22
Compound: MgHF3
Source: the Alexandria database
Functional: PBE
Structure: optimized geometry

```
MgHF3
1.0
3.916 0.000 0.000
0.000 3.916 0.000
0.000 0.000 3.916
Mg F H
1 3 1
direct
0.000 0.000 0.000 Mg
0.000 0.000 0.500 F
0.500 0.000 0.000 F
0.000 0.500 0.000 F
0.500 0.500 0.500 H
```

Calculated values
Space-group type: Pm-3m (221)
Total DFT energy (no corrections), Ha/atom: -0.139
Offset from the most stable computed form, eV per atom: 1.048

***

Record 23
Compound: NbZn2Ag
Source: the Alexandria database
Functional: PBE
Structure: optimized geometry

```
NbZn2Ag
1.0
2.878 0.003 0.001
1.442 2.491 0.001
1.444 0.834 9.298
Nb Zn Ag
1 2 1
direct
0.499 0.499 0.499 Nb
0.081 0.081 0.754 Zn
0.252 0.252 0.246 Zn
0.668 0.668 0.000 Ag
```

Calculated values
ΔE_f, meV per atom: 45
Space-group type: Cm (8)
Total DFT energy (no corrections), Ha/atom: -0.140

***

Record 24
Compound: ReAgBr4
Source: the Alexandria database
Functional: PBE
Structure: optimized geometry

```
ReAgBr4
1.0
-9.580 3.711 -1.070
2.357 -8.052 -1.137
4.188 -0.889 7.304
Br Re Ag
8 2 2
direct
0.097 0.274 0.747 Br
0.403 0.253 0.726 Br
0.903 0.726 0.253 Br
0.036 0.355 0.210 Br
0.464 0.790 0.645 Br
0.597 0.747 0.274 Br
0.964 0.645 0.790 Br
0.536 0.210 0.355 Br
0.250 0.418 0.582 Re
0.750 0.582 0.418 Re
0.250 0.063 0.937 Ag
0.750 0.937 0.063 Ag
```

Calculated values
Space-group type: C2/c (15)
Total DFT energy (no corrections), Ha/atom: -0.131
Offset from the most stable computed form, eV per atom: 0.000